[1]
# NaCd2Se PBE-GGA optimized geometry
data_NaCd2Se
_chemical_formula_sum 'Na2 Cd4 Se2'
_symmetry_space_group_name_H-M 'P 1'
_symmetry_Int_Tables_number 1
_symmetry_space_group_name_Hall 'P 1'
_cell_length_a 9.081
_cell_length_b 9.081
_cell_length_c 6.973
_cell_angle_alpha 49.37
_cell_angle_beta 49.37
_cell_angle_gamma 90.00
loop_
_atom_site_label
_atom_site_type_symbol
_atom_site_fract_x
_atom_site_fract_y
_atom_site_fract_z
Cd1 Cd 0.375 0.311 0.750
Cd2 Cd 0.689 0.125 0.250
Na1 Na 0.500 0.500 0.000
Na2 Na 0.250 0.750 0.500
Se1 Se 0.750 0.250 0.500
Cd3 Cd 0.061 0.625 0.250
Se2 Se 0.000 0.000 0.000
Cd4 Cd 0.875 0.939 0.750
# Calculated total energy, eV/cell: -15.944
# ρ, g/cm3: 4.8
# E_form (uncorrected), meV/atom: -335
# Calculated volume, Å³ per cell: 224
# Crystal system: tetragonal

---

[2]
# NaCdSe3 PBE-GGA optimized geometry
data_NaCdSe3
_chemical_formula_sum 'Na1 Cd1 Se3'
_symmetry_space_group_name_H-M 'P 1'
_symmetry_Int_Tables_number 1
_symmetry_space_group_name_Hall 'P 1'
_cell_length_a 5.164
_cell_length_b 5.164
_cell_length_c 5.164
_cell_angle_alpha 90.00
_cell_angle_beta 90.00
_cell_angle_gamma 90.00
loop_
_atom_site_label
_atom_site_type_symbol
_atom_site_fract_x
_atom_site_fract_y
_atom_site_fract_z
Se1 Se 0.500 0.000 0.000
Cd1 Cd 0.500 0.500 0.500
Na1 Na 0.000 0.000 0.000
Se2 Se 0.000 0.000 0.500
Se3 Se 0.000 0.500 0.000
# Calculated total energy, eV/cell: -10.095
# ΔE to the lowest computed polymorph, eV per formula unit: 2.47
# ρ, g/cm3: 4.5
# E_form (uncorrected), meV/atom: 519
# Calculated volume, Å³ per cell: 138
# Crystal system: cubic

---

[3]
# Na2CdSe2 PBE-GGA optimized geometry
data_Na2CdSe2
_chemical_formula_sum 'Na4 Cd2 Se4'
_symmetry_space_group_name_H-M 'P 1'
_symmetry_Int_Tables_number 1
_symmetry_space_group_name_Hall 'P 1'
_cell_length_a 8.169
_cell_length_b 8.169
_cell_length_c 3.452
_cell_angle_alpha 90.00
_cell_angle_beta 90.00
_cell_angle_gamma 90.00
loop_
_atom_site_label
_atom_site_type_symbol
_atom_site_fract_x
_atom_site_fract_y
_atom_site_fract_z
Se1 Se 0.682 0.818 0.500
Na1 Na 0.622 0.122 0.000
Na2 Na 0.878 0.622 0.000
Na3 Na 0.378 0.878 0.000
Cd1 Cd 0.000 0.000 0.000
Na4 Na 0.122 0.378 0.000
Cd2 Cd 0.500 0.500 0.000
Se2 Se 0.182 0.682 0.500
Se3 Se 0.318 0.182 0.500
Se4 Se 0.818 0.318 0.500
# Calculated total energy, eV/cell: -25.678
# ρ, g/cm3: 4.6
# E_form (uncorrected), meV/atom: -463
# Calculated volume, Å³ per cell: 230
# Crystal system: tetragonal

---

[4]
# NaCd3Se PBE-GGA optimized geometry
data_NaCd3Se
_chemical_formula_sum 'Na1 Cd3 Se1'
_symmetry_space_group_name_H-M 'P 1'
_symmetry_Int_Tables_number 1
_symmetry_space_group_name_Hall 'P 1'
_cell_length_a 5.504
_cell_length_b 5.504
_cell_length_c 5.504
_cell_angle_alpha 90.00
_cell_angle_beta 90.00
_cell_angle_gamma 90.00
loop_
_atom_site_label
_atom_site_type_symbol
_atom_site_fract_x
_atom_site_fract_y
_atom_site_fract_z
Cd1 Cd 0.000 0.500 0.000
Se1 Se 0.500 0.500 0.500
Cd2 Cd 0.500 0.000 0.000
Cd3 Cd 0.000 0.000 0.500
Na1 Na 0.000 0.000 0.000
# Calculated total energy, eV/cell: -4.942
# ΔE to the lowest computed polymorph, eV per formula unit: 1.64
# ρ, g/cm3: 4.4
# E_form (uncorrected), meV/atom: 521
# Calculated volume, Å³ per cell: 167
# Crystal system: cubic

---

[5]
# NaCd2SiSe4 PBE-GGA optimized geometry
data_NaCd2SiSe4
_chemical_formula_sum 'Na1 Cd2 Si1 Se4'
_symmetry_space_group_name_H-M 'P 1'
_symmetry_Int_Tables_number 1
_symmetry_space_group_name_Hall 'P 1'
_cell_length_a 6.473
_cell_length_b 6.473
_cell_length_c 7.304
_cell_angle_alpha 116.28
_cell_angle_beta 116.28
_cell_angle_gamma 90.06
loop_
_atom_site_label
_atom_site_type_symbol
_atom_site_fract_x
_atom_site_fract_y
_atom_site_fract_z
Cd1 Cd 0.250 0.750 0.500
Si1 Si 0.500 0.500 0.000
Se1 Se 0.593 0.593 0.766
Se2 Se 0.826 0.408 0.234
Na1 Na 0.001 0.001 0.001
Se3 Se 0.408 0.826 0.234
Cd2 Cd 0.750 0.250 0.500
Se4 Se 0.173 0.173 0.766
# Calculated total energy, eV/cell: -26.780
# ρ, g/cm3: 4.1
# E_form (uncorrected), meV/atom: -534
# Calculated volume, Å³ per cell: 239
# Crystal system: orthorhombic

---

[6]
# Na2CdSiSe4 PBE-GGA optimized geometry
data_Na2CdSiSe4
_chemical_formula_sum 'Na4 Cd2 Si2 Se8'
_symmetry_space_group_name_H-M 'P 1'
_symmetry_Int_Tables_number 1
_symmetry_space_group_name_Hall 'P 1'
_cell_length_a 7.066
_cell_length_b 8.079
_cell_length_c 8.172
_cell_angle_alpha 90.00
_cell_angle_beta 90.00
_cell_angle_gamma 90.00
loop_
_atom_site_label
_atom_site_type_symbol
_atom_site_fract_x
_atom_site_fract_y
_atom_site_fract_z
Se1 Se 0.376 0.096 0.500
Si1 Si 0.999 0.165 0.000
Se2 Se 0.823 0.841 0.500
Se3 Se 0.323 0.159 0.000
Se4 Se 0.906 0.316 0.228
Na1 Na 0.499 0.331 0.741
Se5 Se 0.406 0.684 0.728
Se6 Se 0.876 0.904 0.000
Se7 Se 0.906 0.316 0.772
Cd1 Cd 0.994 0.132 0.500
Cd2 Cd 0.494 0.868 0.000
Na2 Na 0.499 0.331 0.259
Na3 Na 0.999 0.669 0.241
Se8 Se 0.406 0.684 0.272
Si2 Si 0.499 0.835 0.500
Na4 Na 0.999 0.669 0.759
# Calculated total energy, eV/cell: -58.133
# ρ, g/cm3: 3.6
# E_form (uncorrected), meV/atom: -769
# Calculated volume, Å³ per cell: 467
# Crystal system: orthorhombic